1.
Entry from the Alexandria database: crystalline Rb3BaTi at its relaxed geometry (PBE-GGA).

a b c (Å): 7.1146 7.1146 7.1146
angles (deg): 90.00 90.00 90.00
Last column: nearest neighbours and their distance in Å.
Sites, in units of the cell vectors:
Rb1 0.0000 0.0000 0.5000  2 Ti 3.56
Rb2 0.5000 0.0000 0.0000  2 Ti 3.56
Rb3 0.0000 0.5000 0.0000  2 Ti 3.56
Ti1 0.0000 0.0000 0.0000  6 Rb 3.56
Ba1 0.5000 0.5000 0.5000  12 Rb 5.03

Summary:
Its space-group type is No. 221.

2.
Entry from the Alexandria database: crystalline CsNa2MgCd at its relaxed geometry (PBE-GGA).

a b c (Å): 6.1694 6.1694 5.5381
angles (deg): 90.00 90.00 90.00
Last column: nearest neighbours and their distance in Å.
Sites, in units of the cell vectors:
Mg1 0.0000 0.0000 0.5000  2 Cd 2.77
Cs1 0.5000 0.5000 0.5000  8 Na 4.15, 4 Mg 4.36
Na1 0.5000 0.0000 0.0000  2 Cd 3.08
Na2 0.0000 0.5000 0.0000  2 Cd 3.08
Cd1 0.0000 0.0000 0.0000  2 Mg 2.77, 4 Na 3.08

Summary:
The energy above the most stable polymorph in this dataset comes out at 0.00 eV per formula unit. Its space-group type is No. 123.

3.
Entry from the Alexandria database: crystalline Au4Cl at its relaxed geometry (PBE-GGA).

a b c (Å): 5.2260 5.2260 5.2260
angles (deg): 98.89 98.89 133.71
Last column: nearest neighbours and their distance in Å.
Sites, in units of the cell vectors:
Au1 0.1926 0.5945 0.7871  9 Au 2.91-3.09, 3 Cl 3.00-3.05
Au2 0.5945 0.8074 0.4020  9 Au 2.91-3.09, 3 Cl 3.00-3.05
Au3 0.8074 0.4055 0.2129  9 Au 2.91-3.09, 3 Cl 3.00-3.05
Au4 0.4055 0.1926 0.5980  9 Au 2.91-3.09, 3 Cl 3.00-3.05
Cl1 0.0000 0.0000 0.0000  12 Au 3.00-3.05

Summary:
The energy above the most stable polymorph in this dataset comes out at 0.00 eV per formula unit. Its space-group type is No. 87. As for the uncorrected formation energy: 1.19 eV per formula unit.

4.
Entry from the Alexandria database: crystalline NaBiTePOs at its relaxed geometry (PBE-GGA).

a b c (Å): 3.2284 4.3565 9.5103
angles (deg): 82.47 80.28 68.15
Last column: nearest neighbours and their distance in Å.
Sites, in units of the cell vectors:
Na1 0.3915 0.4496 0.3096  3 Te 3.04-3.17, 2 Na 3.23, 1 Bi 3.31
Te1 0.7572 0.9333 0.0900  2 Os 2.73-2.74, 1 Na 3.04
Os1 0.3377 0.0077 0.8541  3 P 2.34-2.45
Bi1 0.5588 0.8472 0.5692  1 P 2.73, 1 Os 2.80
P1 0.6530 0.4198 0.8083  3 Os 2.34-2.45

Summary:
The energy above the most stable polymorph in this dataset comes out at 0.05 eV per formula unit. Its space-group type is No. 1. As for the uncorrected formation energy: -0.23 eV per formula unit.

5.
Entry from the Alexandria database: crystalline Ba2TbIn12Ir3 at its relaxed geometry (PBE-GGA).

a b c (Å): 8.9301 8.9301 8.9301
angles (deg): 68.58 68.58 68.58
Last column: nearest neighbours and their distance in Å.
Sites, in units of the cell vectors:
In1 0.6080 0.1407 0.1407  1 Ir 2.65
In2 0.1407 0.6080 0.1407  1 Ir 2.65
In3 0.7216 0.0774 0.7216  2 Ir 2.59
In4 0.8593 0.3920 0.8593  1 Ir 2.65
In5 0.9226 0.2784 0.2784  2 Ir 2.59
In6 0.1407 0.1407 0.6080  1 Ir 2.65
In7 0.0774 0.7216 0.7216  2 Ir 2.59
In8 0.8593 0.8593 0.3920  1 Ir 2.65
In9 0.2784 0.9226 0.2784  2 Ir 2.59
In10 0.3920 0.8593 0.8593  1 Ir 2.65
In11 0.2784 0.2784 0.9226  2 Ir 2.59
In12 0.7216 0.7216 0.0774  2 Ir 2.59
Ba1 0.5949 0.5949 0.5949  3 In 3.50, 1 Ba 3.86
Ba2 0.4051 0.4051 0.4051  3 In 3.50, 1 Ba 3.86
Ir1 0.5000 0.0000 0.0000  6 In 2.59-2.65
Ir2 0.0000 0.5000 0.0000  6 In 2.59-2.65
Ir3 0.0000 0.0000 0.5000  6 In 2.59-2.65
Tb1 0.0000 0.0000 0.0000  6 In 3.18

Summary:
Its space-group type is No. 166.

6.
Entry from the Alexandria database: crystalline ZnTe2As at its relaxed geometry (PBE-GGA).

a b c (Å): 4.1568 4.1568 7.1588
angles (deg): 73.97 73.97 59.81
Last column: nearest neighbours and their distance in Å.
Sites, in units of the cell vectors:
Te1 0.9973 0.9973 0.9955  3 Zn 2.87-2.94, 3 As 2.95-2.96
Te2 0.5027 0.5027 0.5045  3 Zn 2.87-2.94, 3 As 2.95-2.96
Zn1 0.7500 0.7500 0.7500  6 Te 2.87-2.94
As1 0.2500 0.2500 0.2500  6 Te 2.95-2.96

Summary:
The energy above the most stable polymorph in this dataset comes out at 0.12 eV per formula unit. Its space-group type is No. 12. As for the uncorrected formation energy: -0.13 eV per formula unit.

7.
Entry from the Alexandria database: crystalline InRe2Os at its relaxed geometry (PBE-GGA).

a b c (Å): 4.9633 4.9633 4.8094
angles (deg): 78.82 78.82 33.74
Last column: nearest neighbours and their distance in Å.
Sites, in units of the cell vectors:
Os1 0.2500 0.2500 0.2500  6 Re 2.70-2.93, 4 In 2.80, 2 Os 2.88
In1 0.7500 0.7500 0.7500  4 Os 2.80, 6 Re 2.83-2.96, 2 In 2.88
Re1 0.5143 0.5143 0.4740  4 Re 2.65-2.88, 3 Os 2.70-2.93, 3 In 2.83-2.96
Re2 0.9857 0.9857 0.0260  4 Re 2.65-2.88, 3 Os 2.70-2.93, 3 In 2.83-2.96

Summary:
Its space-group type is No. 12.

8.
Entry from the Alexandria database: crystalline SmNbP at its relaxed geometry (PBE-GGA).

a b c (Å): 3.9633 3.9633 7.7986
angles (deg): 90.00 90.00 90.00
Last column: nearest neighbours and their distance in Å.
Sites, in units of the cell vectors:
P1 0.5000 0.0000 0.7323  4 Nb 2.69, 4 Sm 2.97
P2 0.0000 0.5000 0.2677  4 Nb 2.69, 4 Sm 2.97
Sm1 0.5000 0.0000 0.1431  5 P 2.97-3.20
Sm2 0.0000 0.5000 0.8569  5 P 2.97-3.20
Nb1 0.5000 0.5000 0.5000  4 P 2.69, 4 Nb 2.80
Nb2 0.0000 0.0000 0.5000  4 P 2.69, 4 Nb 2.80

Summary:
Its space-group type is No. 129.

9.
Entry from the Alexandria database: crystalline BaCr3Si at its relaxed geometry (PBE-GGA).

a b c (Å): 5.1143 5.1143 5.1143
angles (deg): 90.00 90.00 90.00
Last column: nearest neighbours and their distance in Å.
Sites, in units of the cell vectors:
Ba1 0.0000 0.0000 0.0000  6 Cr 2.56
Cr1 0.0000 0.5000 0.0000  2 Ba 2.56
Cr2 0.0000 0.0000 0.5000  2 Ba 2.56
Cr3 0.5000 0.0000 0.0000  2 Ba 2.56
Si1 0.5000 0.5000 0.5000  12 Cr 3.62

Summary:
The energy above the most stable polymorph in this dataset comes out at 8.75 eV per formula unit. Its space-group type is No. 221. As for the uncorrected formation energy: 12.76 eV per formula unit.

10.
Entry from the Alexandria database: crystalline YGe3S at its relaxed geometry (PBE-GGA).

a b c (Å): 5.4840 5.4840 5.4840
angles (deg): 90.00 90.00 90.00
Last column: nearest neighbours and their distance in Å.
Sites, in units of the cell vectors:
S1 0.5000 0.5000 0.5000  12 Ge 3.88
Ge1 0.5000 0.0000 0.0000  2 Y 2.74
Ge2 0.0000 0.5000 0.0000  2 Y 2.74
Ge3 0.0000 0.0000 0.5000  2 Y 2.74
Y1 0.0000 0.0000 0.0000  6 Ge 2.74

Summary:
The energy above the most stable polymorph in this dataset comes out at 4.44 eV per formula unit. Its space-group type is No. 221. As for the uncorrected formation energy: 5.13 eV per formula unit.

11.
Entry from the Alexandria database: crystalline Li2SmCu2Sb2 at its relaxed geometry (PBE-GGA).

a b c (Å): 4.4219 4.4219 8.7837
angles (deg): 75.42 75.42 60.00
Last column: nearest neighbours and their distance in Å.
Sites, in units of the cell vectors:
Sm1 0.0000 0.0000 0.0000  6 Cu 3.19, 6 Sb 3.30, 2 Li 3.45
Li1 0.1366 0.1366 0.5901  4 Sb 2.87-2.89, 3 Li 2.97, 3 Cu 2.98
Li2 0.8634 0.8634 0.4099  4 Sb 2.87-2.89, 3 Li 2.97, 3 Cu 2.98
Cu1 0.5911 0.5911 0.2266  3 Sb 2.56
Cu2 0.4089 0.4089 0.7734  3 Sb 2.56
Sb1 0.2505 0.2505 0.2486  3 Cu 2.56
Sb2 0.7495 0.7495 0.7514  3 Cu 2.56

Summary:
Its space-group type is No. 166. As for the uncorrected formation energy: -3.93 eV per formula unit.

12.
Entry from the Alexandria database: crystalline RbFeRh2 at its relaxed geometry (PBE-GGA).

a b c (Å): 5.1492 5.1492 8.9161
angles (deg): 73.22 73.22 90.00
Last column: nearest neighbours and their distance in Å.
Sites, in units of the cell vectors:
Rh1 0.3750 0.6017 0.7500  2 Fe 2.41, 2 Rh 2.59
Rh2 0.8750 0.6483 0.7500  2 Fe 2.41, 2 Rh 2.59
Rh3 0.3517 0.6250 0.2500  2 Fe 2.41, 2 Rh 2.59
Rh4 0.3983 0.1250 0.2500  2 Fe 2.41, 2 Rh 2.59
Rb1 0.7500 0.2500 0.5000  8 Rh 3.44-3.61, 4 Fe 3.64
Rb2 0.0000 0.0000 0.0000  8 Rh 3.44-3.61, 4 Fe 3.64
Fe1 0.2500 0.7500 0.5000  4 Rh 2.41
Fe2 0.5000 0.5000 0.0000  4 Rh 2.41

Summary:
Its space-group type is No. 122.

13.
Entry from the Alexandria database: crystalline KCr2Fe at its relaxed geometry (PBE-GGA).

a b c (Å): 5.8525 5.8525 5.8525
angles (deg): 155.12 126.64 59.74
Last column: nearest neighbours and their distance in Å.
Sites, in units of the cell vectors:
Cr1 0.9527 0.9527 0.0000  2 Fe 2.41, 2 Cr 2.52
Cr2 0.5473 0.5473 0.0000  2 Fe 2.41, 2 Cr 2.52
K1 0.2500 0.7500 0.5000  2 K 2.52
Fe1 0.7500 0.2500 0.5000  4 Cr 2.41, 2 Fe 2.52

Summary:
The energy above the most stable polymorph in this dataset comes out at 2.29 eV per formula unit. Its space-group type is No. 71.

Number 1: raw total energy -8.3 eV/cell. Number 2: raw total energy -5.7 eV/cell. Number 3: raw total energy -13.8 eV/cell. Number 4: raw total energy -25.2 eV/cell. Number 5: raw total energy -68.3 eV/cell. Number 6: raw total energy -12.3 eV/cell. Number 7: raw total energy -37.1 eV/cell. Number 8: raw total energy -46.1 eV/cell. Number 9: raw total energy -23.5 eV/cell. Number 10: raw total energy -19.3 eV/cell. Number 11: raw total energy -28.9 eV/cell. Number 12: raw total energy -40.7 eV/cell. Number 13: raw total energy -23.4 eV/cell.